Run w
This record from Alexandria describes crystalline PmPr6Tm2 at its relaxed geometry. The functional is PBE.

The structure in POSCAR format:
```
PmPr6Tm2
1.0
11.100 -4.993 0.000
11.100 4.993 0.000
-1.513 0.000 5.599
Pm Pr Tm
2 12 4
Direct
0.250 0.750 0.750 Pm
0.750 0.250 0.250 Pm
0.003 0.169 0.833 Pr
0.079 0.580 0.580 Pr
0.169 0.003 0.333 Pr
0.332 0.497 0.162 Pr
0.420 0.921 0.920 Pr
0.497 0.332 0.662 Pr
0.503 0.668 0.338 Pr
0.580 0.079 0.080 Pr
0.668 0.503 0.838 Pr
0.831 0.997 0.667 Pr
0.921 0.420 0.420 Pr
0.997 0.831 0.167 Pr
0.167 0.333 0.002 Tm
0.333 0.167 0.502 Tm
0.667 0.833 0.498 Tm
0.833 0.667 0.998 Tm
```

Summary:
Total moment = 0.00 μB/atom
Fermi-level density of states = 1.39 states/eV/atom

Run x
This record from Alexandria describes crystalline PmPr6Tm2 at its relaxed geometry. The functional is PBE.

The structure in POSCAR format:
```
PmPr6Tm2
1.0
10.957 0.000 0.000
0.000 10.957 0.000
0.000 0.000 5.190
Pm Pr Tm
2 12 4
Direct
0.000 0.000 0.000 Pm
0.500 0.500 0.500 Pm
0.001 0.331 0.000 Pr
0.165 0.165 0.500 Pr
0.169 0.501 0.500 Pr
0.331 0.001 0.000 Pr
0.335 0.665 0.000 Pr
0.499 0.831 0.500 Pr
0.501 0.169 0.500 Pr
0.665 0.335 0.000 Pr
0.669 0.999 0.000 Pr
0.831 0.499 0.500 Pr
0.835 0.835 0.500 Pr
0.999 0.669 0.000 Pr
0.167 0.833 0.500 Tm
0.333 0.333 0.000 Tm
0.667 0.667 0.000 Tm
0.833 0.167 0.500 Tm
```

Summary:
Total moment = 0.00 μB/atom
Fermi-level density of states = 1.31 states/eV/atom

Name the least stable of them. run w.

Run w
This record from Alexandria describes crystalline Pm3Pr2Tm8 at its relaxed geometry. The functional is PBE.

The structure in POSCAR format:
```
Pm3Pr2Tm8
1.0
10.320 -3.828 0.000
10.320 3.828 0.000
-0.001 0.000 5.541
Pm Pr Tm
3 2 8
Direct
0.000 0.000 0.000 Pm
0.294 0.706 0.500 Pm
0.706 0.294 0.500 Pm
0.240 0.240 0.999 Pr
0.760 0.760 0.001 Pr
0.129 0.129 0.500 Tm
0.180 0.603 0.000 Tm
0.338 0.338 0.500 Tm
0.397 0.820 0.000 Tm
0.603 0.180 0.000 Tm
0.662 0.662 0.500 Tm
0.820 0.397 0.000 Tm
0.871 0.871 0.500 Tm
```

Summary:
Total moment = 0.00 μB/atom
Fermi-level density of states = 1.76 states/eV/atom

Run x
This record from Alexandria describes crystalline Pm3Pr2Tm8 at its relaxed geometry. The functional is PBE.

The structure in POSCAR format:
```
Pm3Pr2Tm8
1.0
6.571 0.000 0.000
-2.102 8.474 0.000
-3.246 -3.693 7.563
Pm Pr Tm
3 2 8
Direct
0.000 0.000 0.000 Pm
0.289 0.905 0.726 Pm
0.711 0.095 0.274 Pm
0.123 0.245 0.769 Pr
0.877 0.755 0.231 Pr
0.120 0.486 0.356 Tm
0.267 0.675 0.081 Tm
0.347 0.166 0.468 Tm
0.488 0.597 0.775 Tm
0.512 0.403 0.225 Tm
0.653 0.834 0.532 Tm
0.733 0.325 0.919 Tm
0.880 0.514 0.644 Tm
```

Summary:
Total moment = 0.00 μB/atom
Fermi-level density of states = 1.50 states/eV/atom

Name the least stable of them. run w.

Run w
This record from Alexandria describes crystalline Pm7Pr2Tm3 at its relaxed geometry. The functional is PBE.

The structure in POSCAR format:
```
Pm7Pr2Tm3
1.0
5.876 0.000 0.000
0.000 3.638 0.000
-1.317 0.000 19.046
Pm Pr Tm
7 2 3
Direct
0.000 0.000 0.000 Pm
0.174 0.500 0.179 Pm
0.259 0.500 0.536 Pm
0.329 0.000 0.858 Pm
0.671 0.000 0.142 Pm
0.741 0.500 0.464 Pm
0.826 0.500 0.821 Pm
0.297 0.500 0.703 Pr
0.703 0.500 0.297 Pr
0.218 0.000 0.370 Tm
0.500 0.500 0.000 Tm
0.782 0.000 0.630 Tm
```

Summary:
Total moment = 0.00 μB/atom
Fermi-level density of states = 1.33 states/eV/atom

Run x
This record from Alexandria describes crystalline Pm7Pr2Tm3 at its relaxed geometry. The functional is PBE.

The structure in POSCAR format:
```
Pm7Pr2Tm3
1.0
6.454 0.000 0.000
0.000 3.570 0.000
-1.815 0.000 17.563
Pm Pr Tm
7 2 3
Direct
0.000 0.000 0.000 Pm
0.229 0.500 0.170 Pm
0.258 0.500 0.496 Pm
0.278 0.000 0.837 Pm
0.722 0.000 0.163 Pm
0.742 0.500 0.504 Pm
0.771 0.500 0.830 Pm
0.059 0.500 0.671 Pr
0.941 0.500 0.329 Pr
0.455 0.000 0.342 Tm
0.500 0.500 0.000 Tm
0.545 0.000 0.658 Tm
```

Summary:
Total moment = 0.00 μB/atom
Fermi-level density of states = 1.49 states/eV/atom

Name the least stable of them. run w.

Run w
This record from Alexandria describes crystalline PmPr8Tm6 at its relaxed geometry. The functional is PBE.

The structure in POSCAR format:
```
PmPr8Tm6
1.0
4.836 2.792 6.259
-4.836 2.792 6.259
0.000 -5.584 6.259
Pm Pr Tm
1 8 6
Direct
0.000 0.000 0.000 Pm
0.073 0.640 0.775 Pr
0.225 0.927 0.360 Pr
0.360 0.225 0.927 Pr
0.421 0.421 0.421 Pr
0.579 0.579 0.579 Pr
0.640 0.775 0.073 Pr
0.775 0.073 0.640 Pr
0.927 0.360 0.225 Pr
0.085 0.280 0.590 Tm
0.280 0.590 0.085 Tm
0.410 0.915 0.720 Tm
0.590 0.085 0.280 Tm
0.720 0.410 0.915 Tm
0.915 0.720 0.410 Tm
```

Summary:
Total moment = 0.00 μB/atom
Fermi-level density of states = 1.53 states/eV/atom

Run x
This record from Alexandria describes crystalline PmPr8Tm6 at its relaxed geometry. The functional is PBE.

The structure in POSCAR format:
```
PmPr8Tm6
1.0
9.510 0.000 0.000
-4.755 8.236 0.000
0.000 0.000 6.512
Pm Pr Tm
1 8 6
Direct
0.000 0.000 0.000 Pm
0.043 0.756 0.676 Pr
0.244 0.288 0.676 Pr
0.288 0.043 0.324 Pr
0.333 0.667 0.631 Pr
0.667 0.333 0.369 Pr
0.712 0.957 0.676 Pr
0.756 0.712 0.324 Pr
0.957 0.244 0.324 Pr
0.099 0.652 0.166 Tm
0.348 0.446 0.166 Tm
0.446 0.099 0.834 Tm
0.554 0.901 0.166 Tm
0.652 0.554 0.834 Tm
0.901 0.348 0.834 Tm
```

Summary:
Total moment = 0.00 μB/atom
Fermi-level density of states = 1.67 states/eV/atom

Name the least stable of them. run x.

Run w
This record from Alexandria describes crystalline PmPrTmZn at its relaxed geometry. The functional is PBE.

The structure in POSCAR format:
```
PmPrTmZn
1.0
3.616 0.000 0.000
0.000 3.616 0.000
0.000 0.000 8.779
Pm Pr Tm Zn
1 1 1 1
Direct
0.000 0.000 0.000 Pm
0.500 0.500 0.306 Pr
0.000 0.000 0.596 Tm
0.500 0.500 0.781 Zn
```

Summary:
Total moment = 0.00 μB/atom
Fermi-level density of states = 1.17 states/eV/atom

Run x
This record from Alexandria describes crystalline PmPrTmZn at its relaxed geometry. The functional is PBE.

The structure in POSCAR format:
```
PmPrTmZn
1.0
0.000 3.840 3.840
3.840 0.000 3.840
3.840 3.840 0.000
Pm Pr Tm Zn
1 1 1 1
Direct
0.000 0.000 0.000 Pm
0.500 0.500 0.500 Pr
0.250 0.250 0.250 Tm
0.750 0.750 0.750 Zn
```

Summary:
Total moment = 0.00 μB/atom
Fermi-level density of states = 1.17 states/eV/atom

Name the least stable of them. run x.

Run w
This record from Alexandria describes crystalline Pm6PrY12 at its relaxed geometry. The functional is PBE.

The structure in POSCAR format:
```
Pm6PrY12
1.0
5.595 3.230 5.861
-5.595 3.230 5.861
0.000 -6.460 5.861
Pm Pr Y
6 1 12
Direct
0.271 0.271 0.665 Pm
0.271 0.665 0.271 Pm
0.335 0.729 0.729 Pm
0.665 0.271 0.271 Pm
0.729 0.335 0.729 Pm
0.729 0.729 0.335 Pm
0.500 0.500 0.500 Pr
0.017 0.017 0.697 Y
0.017 0.697 0.017 Y
0.019 0.363 0.363 Y
0.303 0.983 0.983 Y
0.363 0.019 0.363 Y
0.363 0.363 0.019 Y
0.637 0.637 0.981 Y
0.637 0.981 0.637 Y
0.697 0.017 0.017 Y
0.981 0.637 0.637 Y
0.983 0.303 0.983 Y
0.983 0.983 0.303 Y
```

Summary:
Total moment = 0.00 μB/atom
Fermi-level density of states = 1.69 states/eV/atom

Run x
This record from Alexandria describes crystalline Pm6PrY12 at its relaxed geometry. The functional is PBE.

The structure in POSCAR format:
```
Pm6PrY12
1.0
7.850 4.532 2.942
-7.850 4.532 2.942
0.000 -9.065 2.942
Pm Pr Y
6 1 12
Direct
0.053 0.369 0.578 Pm
0.369 0.578 0.053 Pm
0.422 0.947 0.631 Pm
0.578 0.053 0.369 Pm
0.631 0.422 0.947 Pm
0.947 0.631 0.422 Pm
0.000 0.000 0.000 Pr
0.106 0.737 0.158 Y
0.158 0.106 0.737 Y
0.211 0.474 0.316 Y
0.263 0.842 0.894 Y
0.316 0.211 0.474 Y
0.474 0.316 0.211 Y
0.526 0.684 0.789 Y
0.684 0.789 0.526 Y
0.737 0.158 0.106 Y
0.789 0.526 0.684 Y
0.842 0.894 0.263 Y
0.894 0.263 0.842 Y
```

Summary:
Total moment = 0.00 μB/atom
Fermi-level density of states = 1.41 states/eV/atom

Name the least stable of them. run w.

Run w
This record from Alexandria describes crystalline Pm2PrY at its relaxed geometry. The functional is PBE.

The structure in POSCAR format:
```
Pm2PrY
1.0
1.825 1.054 11.905
-1.825 1.054 11.905
0.000 -2.107 11.905
Pm Pr Y
2 1 1
Direct
0.249 0.249 0.249 Pm
0.751 0.751 0.751 Pm
0.000 0.000 0.000 Pr
0.500 0.500 0.500 Y
```

Summary:
Total moment = 0.00 μB/atom
Fermi-level density of states = 1.38 states/eV/atom

Run x
This record from Alexandria describes crystalline Pm2PrY at its relaxed geometry. The functional is PBE.

The structure in POSCAR format:
```
Pm2PrY
1.0
4.298 0.000 0.000
0.000 4.298 0.000
0.000 0.000 7.456
Pm Pr Y
2 1 1
Direct
0.000 0.000 0.245 Pm
0.000 0.000 0.755 Pm
0.500 0.500 0.500 Pr
0.500 0.500 0.000 Y
```

Summary:
Total moment = 0.00 μB/atom
Fermi-level density of states = 2.27 states/eV/atom

Run y
This record from Alexandria describes crystalline Pm2PrY at its relaxed geometry. The functional is PBE.

The structure in POSCAR format:
```
Pm2PrY
1.0
0.000 4.106 4.106
4.106 0.000 4.106
4.106 4.106 0.000
Pm Pr Y
2 1 1
Direct
0.250 0.250 0.250 Pm
0.750 0.750 0.750 Pm
0.000 0.000 0.000 Pr
0.500 0.500 0.500 Y
```

Summary:
Total moment = 0.00 μB/atom
Fermi-level density of states = 2.75 states/eV/atom

Name the least stable of them. run y.

Run w
This record from Alexandria describes crystalline PmPrY at its relaxed geometry. The functional is PBE.

The structure in POSCAR format:
```
PmPrY
1.0
-2.892 3.544 5.003
2.892 -3.544 5.003
2.892 3.544 -5.003
Pm Pr Y
2 2 2
Direct
0.165 0.165 0.000 Pm
0.835 0.835 0.000 Pm
0.254 0.500 0.754 Pr
0.746 0.500 0.246 Pr
0.333 0.833 0.500 Y
0.667 0.167 0.500 Y
```

Summary:
Total moment = 0.00 μB/atom
Fermi-level density of states = 1.53 states/eV/atom

Run x
This record from Alexandria describes crystalline PmPrY at its relaxed geometry. The functional is PBE.

The structure in POSCAR format:
```
PmPrY
1.0
4.927 0.000 0.000
0.000 4.927 0.000
0.000 0.000 8.830
Pm Pr Y
2 2 2
Direct
0.250 0.250 0.201 Pm
0.750 0.750 0.799 Pm
0.250 0.750 0.500 Pr
0.750 0.250 0.500 Pr
0.250 0.250 0.808 Y
0.750 0.750 0.192 Y
```

Summary:
Total moment = 0.00 μB/atom
Fermi-level density of states = 1.30 states/eV/atom

Name the least stable of them. run x.